Material: Cs3MnF7
Method: DFT, meta-GGA SCAN
State: PBEsol geometry

Properties
Crystal system = tetragonal
Space group = No. 127
Total moment = 6.1 μB/cell
Formation energy without anion corrections = -68.77 kcal/mol of atoms
V = 19.245 A^3/atom
Uncorrected energy = -17.206 eV/atom

Cell lengths 8.2852, 8.2852, 6.1680 Å; angles 90.00, 90.00, 90.00 degrees
Last column: nearest neighbours and their distance in Å.
Fractional coordinates of all 22 atoms:
1 Cs 0.0000 0.0000 0.0000  6 F 3.08-3.13
2 Cs 0.1905 0.3095 0.5000  10 F 2.95-3.13
3 Cs 0.3095 0.8095 0.5000  10 F 2.95-3.13
4 Cs 0.5000 0.5000 0.0000  6 F 3.08-3.13
5 Cs 0.6905 0.1905 0.5000  10 F 2.95-3.13
6 Cs 0.8095 0.6905 0.5000  10 F 2.95-3.13
7 Mn 0.0000 0.5000 0.0000  6 F 1.82
8 Mn 0.5000 0.0000 0.0000  6 F 1.82
9 F 0.0000 0.0000 0.5000  6 Cs 3.01-3.08
10 F 0.1090 0.6090 0.2108  1 Mn 1.82
11 F 0.1090 0.6090 0.7892  1 Mn 1.82
12 F 0.1552 0.3448 0.0000  1 Mn 1.82
13 F 0.3448 0.8448 0.0000  1 Mn 1.82
14 F 0.3910 0.1090 0.2108  1 Mn 1.82
15 F 0.3910 0.1090 0.7892  1 Mn 1.82
16 F 0.5000 0.5000 0.5000  6 Cs 3.01-3.08
17 F 0.6090 0.8910 0.2108  1 Mn 1.82
18 F 0.6090 0.8910 0.7892  1 Mn 1.82
19 F 0.6552 0.1552 0.0000  1 Mn 1.82
20 F 0.8448 0.6552 0.0000  1 Mn 1.82
21 F 0.8910 0.3910 0.2108  1 Mn 1.82
22 F 0.8910 0.3910 0.7892  1 Mn 1.82

Material: Cs2MnF6
Method: DFT, meta-GGA SCAN
State: PBEsol geometry

Properties
Crystal system = cubic
Space group = No. 225
Total moment = 3.0 μB/cell
Formation energy without anion corrections = -69.33 kcal/mol of atoms
V = 19.185 A^3/atom
Uncorrected energy = -15.797 eV/atom

Cell lengths 6.2504, 6.2504, 6.2504 Å; angles 60.00, 60.00, 60.00 degrees
Last column: nearest neighbours and their distance in Å.
Fractional coordinates of all 9 atoms:
1 Cs 0.2500 0.2500 0.2500  12 F 3.15
2 Cs 0.7500 0.7500 0.7500  12 F 3.15
3 Mn 0.0000 0.0000 0.0000  6 F 1.82
4 F 0.2057 0.2057 0.7943  1 Mn 1.82
5 F 0.2057 0.7943 0.2057  1 Mn 1.82
6 F 0.2057 0.7943 0.7943  1 Mn 1.82
7 F 0.7943 0.2057 0.2057  1 Mn 1.82
8 F 0.7943 0.2057 0.7943  1 Mn 1.82
9 F 0.7943 0.7943 0.2057  1 Mn 1.82